Computed, not measured: a geometry-optimized La2YAg2 structure at the PBE level of DFT.

Lattice parameters (Å, degrees): 4.667 4.667 14.074 90.00 90.00 90.00
Space group I4/mmm (No. 139)
Inequivalent atoms, fractional coordinates:
La 0.000 0.000 0.107 x4
Y 0.000 0.000 0.500 x2
Ag 0.000 0.500 0.250 x4

Summary:
- Electronic total energy: -4.2231 eV/atom
- Mass density: 6309 kg/m³
- Density of states at the Fermi level: 11.1 states/eV/cell
- Calculated formation energy: 0.181 eV per atom